[1]
Computed, not measured: a geometry-optimized Y3Er structure at the PBE-GGA level of DFT.

Summary:
The calculation puts the formation energy from the elements at 0.0 meV/atom. The value obtained for the calculated density is 5588 kg/m³. The calculation puts the energy at -5.99 eV/atom.

The structure in POSCAR format:
```
Y3Er
1.0
-1.3670 2.4059 -2.3576
-1.9616 -4.7131 -3.6722
-3.2575 1.0561 5.7691
Y Er
3 1
Direct
0.2514 0.5845 0.5028
0.5000 0.4993 0.0000
0.7486 0.0817 0.4972
0.0000 0.0012 0.0000
```

[2]
Computed, not measured: a geometry-optimized YEr4 structure at the PBE-GGA level of DFT.

Summary:
The calculation puts the formation energy from the elements at 103.5 meV/atom. The value obtained for the calculated density is 8062 kg/m³. The calculation puts the energy at -4.84 eV/atom.

The structure in POSCAR format:
```
YEr4
1.0
5.9557 0.0000 0.0000
0.0000 5.8260 2.0552
0.0000 0.7895 9.2767
Y Er
2 8
Direct
0.0000 0.0000 0.0000
0.5000 0.0000 0.5000
0.0720 0.3965 0.2006
0.5720 0.6035 0.2994
0.9280 0.6035 0.7994
0.4280 0.3965 0.7006
0.9515 0.2089 0.5967
0.4515 0.7911 0.9033
0.0485 0.7911 0.4033
0.5485 0.2089 0.0967
```

[3]
Computed, not measured: a geometry-optimized YEr4 structure at the PBE-GGA level of DFT.

Summary:
The calculation puts the formation energy from the elements at 26.3 meV/atom. The value obtained for the calculated density is 8173 kg/m³. The calculation puts the energy at -4.92 eV/atom.

The structure in POSCAR format:
```
YEr4
1.0
3.4777 0.0016 0.5524
1.6905 3.0392 0.5524
-0.5429 -0.3194 14.4582
Y Er
1 4
Direct
0.0000 0.0000 0.0000
0.2000 0.2000 0.4007
0.8000 0.8000 0.5993
0.5999 0.5999 0.2019
0.4001 0.4001 0.7981
```

[4]
Computed, not measured: a geometry-optimized Y3Er4 structure at the PBE-GGA level of DFT.

Summary:
The calculation puts the formation energy from the elements at 4.0 meV/atom. The value obtained for the calculated density is 7009 kg/m³. The calculation puts the energy at -5.37 eV/atom.

The structure in POSCAR format:
```
Y3Er4
1.0
-2.5345 3.0694 3.9581
-4.8011 -7.7237 2.9152
8.4974 2.0700 3.8360
Y Er
6 8
Direct
0.7500 0.2403 0.0486
0.2500 0.7597 0.9514
0.2500 0.0486 0.8083
0.7500 0.8083 0.7597
0.2500 0.1917 0.2403
0.7500 0.9514 0.1917
0.2500 0.4783 0.0956
0.7500 0.5217 0.9044
0.2500 0.3333 0.6667
0.7500 0.0956 0.6173
0.2500 0.6173 0.5217
0.7500 0.3827 0.4783
0.2500 0.9044 0.3827
0.7500 0.6667 0.3333
```

> Which value of energy does entry 1 give?

-5.99 eV/atom

> Which value of formation energy from the elements does entry 3 give?

26.3 meV/atom

> Which formula does entry 2 have?

YEr4